# ZrScHg2

An optimized crystal structure of ZrScHg2 (PBE, Alexandria via LeMat-Bulk).

Results
Its total energy is -4.13 eV/atom. As for the offset from the most stable computed form: 18 meV per atom.

Structure (CIF):
```
data_ZrScHg2
_chemical_formula_sum 'Zr1 Sc1 Hg2'
_cell_length_a 3.5508
_cell_length_b 4.9659
_cell_length_c 4.9667
_cell_angle_alpha 90.00
_cell_angle_beta 90.00
_cell_angle_gamma 90.00
_space_group_name_H-M_alt 'P m m 2'
_space_group_IT_number 25
loop_
_space_group_symop_operation_xyz
'x,y,z'
'-x,-y,z'
'-x,y,z'
'x,-y,z'
loop_
_atom_site_label
_atom_site_type_symbol
_atom_site_fract_x
_atom_site_fract_y
_atom_site_fract_z
_atom_site_occupancy
Zr1 Zr 0.0000 0.0000 0.0000 1
Sc1 Sc 0.0000 0.5000 0.5016 1
Hg1 Hg 0.5000 0.0000 0.4999 1
Hg2 Hg 0.5000 0.5000 0.0018 1
```